Compound: Pm2Dy2Ga4Si
Source: Alexandria
Functional: GGA-PBE
Structure: relaxed

Unit cell a=6.6150 b=6.6150 c=6.6150 alpha=116.10 beta=116.10 gamma=96.90
Positions (direct):
Pm 0.2500 0.7500 0.5000
Pm 0.7500 0.2500 0.5000
Dy 0.1930 0.1930 0.0000
Dy 0.8070 0.8070 0.0000
Ga 0.2524 0.2524 0.5049
Ga 0.2524 0.7476 0.0000
Ga 0.7476 0.2524 0.0000
Ga 0.7476 0.7476 0.4951
Si 0.5000 0.5000 0.0000

Calculated values
**Total energy**: -0.1605 Ha/atom
**Total magnetization**: 0.00 μB per formula unit
**Energy relative to the elements, uncorrected**: -342 meV/atom
**ρ**: 7.12 g/cm3
**Symmetry**: I4/mmm, No. 139


Compound: VTeRu
Source: Alexandria
Functional: GGA-PBE
Structure: relaxed

Unit cell a=3.6168 b=5.6193 c=5.8964 alpha=70.26 beta=89.95 gamma=89.50
Positions (direct):
V 0.0000 0.0000 0.0000
V 0.0303 0.8247 0.4831
Te 0.0068 0.5388 0.9676
Te 0.5012 0.1755 0.6292
Ru 0.4788 0.6530 0.3177
Ru 0.5084 0.1685 0.1820

Calculated values
**Total energy**: -0.2639 Ha/atom
**Total magnetization**: 0.00 μB per formula unit
**Energy relative to the elements, uncorrected**: -2 meV/atom
**ρ**: 8.23 g/cm3
**Symmetry**: P1, No. 1
**ΔE to the lowest computed polymorph**: 204 meV/atom


- Which value of ρ does entry 2 give?
  8.23 g/cm3


- ρ of number 2 (VTeRu)?
  8.23 g/cm3